# Ce2BeReN5 PBE-GGA relaxed
# DFT total energy ... -8.610 eV/atom
# Formation energy from raw total energies ... -0.8695 eV per atom
# Fermi-level density of states ... 6.0 states/eV per cell
data_Ce2BeReN5
_chemical_formula_sum 'Ce8 Be4 Re4 N20'
_cell_length_a 3.315
_cell_length_b 13.237
_cell_length_c 9.544
_cell_angle_alpha 90.00
_cell_angle_beta 90.00
_cell_angle_gamma 90.00
_symmetry_space_group_name_H-M 'C m c 21'
_symmetry_Int_Tables_number 36
loop_
_symmetry_equiv_pos_as_xyz
'x,y,z'
'-x,-y,z+1/2'
'-x,y,z'
'x,-y,z+1/2'
'x+1/2,y+1/2,z'
'-x+1/2,-y+1/2,z+1/2'
'-x+1/2,y+1/2,z'
'x+1/2,-y+1/2,z+1/2'
loop_
_atom_site_label
_atom_site_type_symbol
_atom_site_fract_x
_atom_site_fract_y
_atom_site_fract_z
_atom_site_occupancy
Ce1 Ce 0.000 0.122 0.000 1
Ce2 Ce 0.000 0.128 0.618 1
Be1 Be 0.000 0.450 0.742 1
Re1 Re 0.000 0.195 0.318 1
N1 N 0.000 0.045 0.313 1
N2 N 0.000 0.300 0.955 1
N3 N 0.000 0.310 0.677 1
N4 N 0.000 0.342 0.315 1
N5 N 0.000 0.499 0.080 1